Record 1
# TaBePd (PBE, relaxed)
data_TaBePd
_symmetry_space_group_name_H-M 'F -4 3 m'
_symmetry_Int_Tables_number 216
_symmetry_space_group_name_Hall 'F -4 2 3'
_cell_length_a 5.912
_cell_length_b 5.912
_cell_length_c 5.912
_cell_angle_alpha 90.00
_cell_angle_beta 90.00
_cell_angle_gamma 90.00
loop_
_atom_site_label
_atom_site_fract_x
_atom_site_fract_y
_atom_site_fract_z
Ta1 0.000 0.000 0.000
Be1 0.250 0.250 0.750
Pd1 0.250 0.250 0.250
# * crystal system: cubic
# * size of the total moment: 0.00 μB/f.u.
# * theoretical density: 9527 kg/m3
# * total energy: -18.9 eV/f.u.

Record 2
# TaBePd2 (PBE, relaxed)
data_TaBePd2
_symmetry_space_group_name_H-M 'F -4 3 m'
_symmetry_Int_Tables_number 216
_symmetry_space_group_name_Hall 'F -4 2 3'
_cell_length_a 6.130
_cell_length_b 6.130
_cell_length_c 6.130
_cell_angle_alpha 90.00
_cell_angle_beta 90.00
_cell_angle_gamma 90.00
loop_
_atom_site_label
_atom_site_fract_x
_atom_site_fract_y
_atom_site_fract_z
Ta1 0.000 0.000 0.000
Be1 0.250 0.250 0.750
Pd1 0.000 0.000 0.500
Pd2 0.250 0.250 0.250
# * crystal system: cubic
# * size of the total moment: 0.01 μB/f.u.
# * theoretical density: 11618 kg/m3
# * total energy: -26.3 eV/f.u.

Record 3
# TaBePd (PBE, relaxed)
data_TaBePd
_symmetry_space_group_name_H-M 'F -4 3 m'
_symmetry_Int_Tables_number 216
_symmetry_space_group_name_Hall 'F -4 2 3'
_cell_length_a 5.629
_cell_length_b 5.629
_cell_length_c 5.629
_cell_angle_alpha 90.00
_cell_angle_beta 90.00
_cell_angle_gamma 90.00
loop_
_atom_site_label
_atom_site_fract_x
_atom_site_fract_y
_atom_site_fract_z
Ta1 0.000 0.000 0.000
Be1 0.250 0.250 0.750
Pd1 0.000 0.000 0.500
# * crystal system: cubic
# * size of the total moment: 0.00 μB/f.u.
# * theoretical density: 11040 kg/m3
# * total energy: -20.2 eV/f.u.

Record 4
# Ta2BePd (PBE, relaxed)
data_Ta2BePd
_symmetry_space_group_name_H-M 'F -4 3 m'
_symmetry_Int_Tables_number 216
_symmetry_space_group_name_Hall 'F -4 2 3'
_cell_length_a 6.301
_cell_length_b 6.301
_cell_length_c 6.301
_cell_angle_alpha 90.00
_cell_angle_beta 90.00
_cell_angle_gamma 90.00
loop_
_atom_site_label
_atom_site_fract_x
_atom_site_fract_y
_atom_site_fract_z
Ta1 0.000 0.000 0.000
Ta2 0.250 0.250 0.250
Be1 0.000 0.000 0.500
Pd1 0.250 0.250 0.750
# * crystal system: cubic
# * size of the total moment: 0.23 μB/f.u.
# * theoretical density: 12671 kg/m3
# * total energy: -31.5 eV/f.u.

Repeat the third record exactly.
# TaBePd (PBE, relaxed)
data_TaBePd
_symmetry_space_group_name_H-M 'F -4 3 m'
_symmetry_Int_Tables_number 216
_symmetry_space_group_name_Hall 'F -4 2 3'
_cell_length_a 5.629
_cell_length_b 5.629
_cell_length_c 5.629
_cell_angle_alpha 90.00
_cell_angle_beta 90.00
_cell_angle_gamma 90.00
loop_
_atom_site_label
_atom_site_fract_x
_atom_site_fract_y
_atom_site_fract_z
Ta1 0.000 0.000 0.000
Be1 0.250 0.250 0.750
Pd1 0.000 0.000 0.500
# * crystal system: cubic
# * size of the total moment: 0.00 μB/f.u.
# * theoretical density: 11040 kg/m3
# * total energy: -20.2 eV/f.u.